Below is a crystal of TlTe2P relaxed with PBEsol, with properties calculated at the meta-GGA SCAN level.

formation energy (no corrections)	99	kJ/mol of formula units
DFT total energy	-156.2	eV per cell

Lattice parameters (Å, degrees): 6.2912 6.2912 6.2912 147.79 126.31 64.00
Last column: nearest neighbours and their distance in Å.
Element x y z (fractional)
Tl 0.0000 0.0000 0.0000  2 P 3.30, 8 Te 3.40-3.60, 2 Tl 3.49
Te 0.2931 0.7931 0.5000  6 Te 3.38-3.75, 4 P 3.39, 4 Tl 3.58-3.60
Te 0.5641 0.5641 0.0000  2 P 2.54
P 0.7372 0.2372 0.5000  2 Te 2.54